No. 1
The following is a DFT calculation (PBE-GGA) of Pm2Al5Pd4 after structural relaxation.

a b c (Å): 5.491 5.464 8.545
angles (deg): 80.71 71.26 59.84
Positions (direct):
Pm: 0.873 0.000 0.255
Pm: 0.127 0.000 0.745
Al: 0.500 0.000 0.000
Al: 0.000 0.500 0.000
Al: 0.500 0.500 0.000
Al: 0.250 0.500 0.500
Al: 0.750 0.500 0.500
Pd: 0.470 0.321 0.739
Pd: 0.530 0.679 0.261
Pd: 0.209 0.321 0.261
Pd: 0.791 0.679 0.739

Output
Total energy ... -5.275 eV per atom
Calculated formation energy ... -0.82 eV per atom
Spin magnetization ... 0.00 μB per cell
SG ... Fmmm
Crystal system ... orthorhombic

No. 2
The following is a DFT calculation (PBE-GGA) of Rb2Cd2Ge after structural relaxation.

a b c (Å): 7.044 6.755 8.976
angles (deg): 99.52 90.00 121.42
Positions (direct):
Rb: 0.538 0.300 0.653
Rb: 0.238 0.700 0.847
Rb: 0.462 0.700 0.347
Rb: 0.762 0.300 0.153
Cd: 0.760 0.755 0.001
Cd: 0.005 0.245 0.499
Cd: 0.240 0.245 0.999
Cd: 0.995 0.755 0.501
Ge: 0.894 0.000 0.750
Ge: 0.106 0.000 0.250

Output
Total energy ... -1.711 eV per atom
Calculated formation energy ... -0.03 eV per atom
Spin magnetization ... 0.00 μB per cell
Energy above the lowest structure with this stoichiometry ... 0.000 eV/atom
SG ... C2/c
Crystal system ... monoclinic

No. 3
The following is a DFT calculation (PBE-GGA) of DyReOs after structural relaxation.

a b c (Å): 5.462 5.462 8.658
angles (deg): 90.00 90.00 121.30
Positions (direct):
Dy: 0.665 0.335 0.687
Dy: 0.333 0.667 0.818
Dy: 0.333 0.667 0.182
Dy: 0.665 0.335 0.313
Re: 0.996 0.004 0.753
Re: 0.996 0.004 0.247
Re: 0.171 0.339 0.500
Re: 0.661 0.830 0.500
Os: 0.176 0.824 0.500
Os: 0.829 0.653 0.000
Os: 0.347 0.171 0.000
Os: 0.829 0.171 0.000

Output
Total energy ... -9.693 eV per atom
Calculated formation energy ... -0.27 eV per atom
Spin magnetization ... 0.00 μB per cell
Energy above the lowest structure with this stoichiometry ... 0.000 eV/atom
SG ... Amm2
Crystal system ... orthorhombic